[1]
Material: PmNd4DyHo2
Method: DFT, PBE
State: relaxed

Cell: 6.2715 3.6336 11.9391 Å, 90.00 100.22 90.00°
Space group P2/m (No. 10)
Unique sites:
Pm 0.0000 0.0000 0.0000 (multiplicity 1)
Nd 0.2505 0.5000 0.2525 (multiplicity 2)
Nd 0.2510 0.0000 0.7493 (multiplicity 2)
Dy 0.0000 0.5000 0.5000 (multiplicity 1)
Ho 0.5000 0.0000 0.5000 (multiplicity 1)
Ho 0.5000 0.5000 0.0000 (multiplicity 1)

Values from the calculation:
The density of states at the Fermi level is 10.81 states/eV per cell. The calculated total energy is -4.682 eV/atom. The formation energy is 0.02 eV per atom.

[2]
Material: Tb8OsPd2
Method: DFT, PBE
State: relaxed

Cell: 8.2940 13.0141 6.0465 Å, 90.00 111.10 90.00°
Space group Cm (No. 8)
Unique sites:
Tb 0.0000 0.0000 0.0000 (multiplicity 2)
Tb 0.0646 0.3748 0.7639 (multiplicity 4)
Tb 0.1440 0.1246 0.5578 (multiplicity 4)
Tb 0.2076 0.5000 0.3503 (multiplicity 2)
Tb 0.3509 0.2055 0.1729 (multiplicity 4)
Os 0.3542 0.0000 0.3417 (multiplicity 2)
Pd 0.3583 0.3082 0.6745 (multiplicity 4)

Values from the calculation:
The calculation puts the relative energy among the computed polymorphs at 91 meV per atom. The density of states at the Fermi level is 24.06 states/eV per cell. The calculated total energy is -5.621 eV/atom. The formation energy is -0.29 eV per atom.

[3]
Material: NaBeTe3
Method: DFT, PBE
State: relaxed

Cell: 5.1588 5.1588 5.1588 Å, 90.00 90.00 90.00°
Space group Pm-3m (No. 221)
Unique sites:
Na 0.0000 0.0000 0.0000 (multiplicity 1)
Be 0.5000 0.5000 0.5000 (multiplicity 1)
Te 0.0000 0.5000 0.5000 (multiplicity 3)

Values from the calculation:
The calculation puts the relative energy among the computed polymorphs at 0 meV per atom. The density of states at the Fermi level is 5.12 states/eV per cell. The calculation puts the raw formation energy at 30.2 meV/atom. The calculated total energy is -2.864 eV/atom.

[4]
Material: Na2MgHg
Method: DFT, PBE
State: relaxed

Cell: 8.7624 8.7624 5.9829 Å, 90.00 90.00 90.00°
Space group I-42d (No. 122)
Unique sites:
Na 0.2226 0.2500 0.1250 (multiplicity 8)
Mg 0.0000 0.0000 0.5000 (multiplicity 4)
Hg 0.0000 0.0000 0.0000 (multiplicity 4)

Values from the calculation:
The density of states at the Fermi level is 5.42 states/eV per cell. The calculated total energy is -1.113 eV/atom. The formation energy is 0.02 eV per atom.

The highest density of states at the Fermi level belongs to which entry?
Tb8OsPd2

Which of these has the highest density of states at the Fermi level?
Tb8OsPd2

Repeat the third record exactly.
Material: NaBeTe3
Method: DFT, PBE
State: relaxed

Cell: 5.1588 5.1588 5.1588 Å, 90.00 90.00 90.00°
Space group Pm-3m (No. 221)
Unique sites:
Na 0.0000 0.0000 0.0000 (multiplicity 1)
Be 0.5000 0.5000 0.5000 (multiplicity 1)
Te 0.0000 0.5000 0.5000 (multiplicity 3)

Values from the calculation:
The calculation puts the relative energy among the computed polymorphs at 0 meV per atom. The density of states at the Fermi level is 5.12 states/eV per cell. The calculation puts the raw formation energy at 30.2 meV/atom. The calculated total energy is -2.864 eV/atom.